DFT (PBE-GGA) results for crystalline NpHgRhAu at its relaxed geometry.

Cell and atoms, written as POSCAR:
```
NpHgRhAu
1.0
4.857 0.000 0.000
2.429 4.207 0.000
2.429 1.402 3.966
Np Rh Au Hg
1 1 1 1
direct
0.000 0.000 0.000 Np
0.250 0.250 0.250 Rh
0.750 0.750 0.750 Au
0.500 0.500 0.500 Hg
```

Properties
Formation energy (eV/atom): -0.057
Fermi-level density of states (states/eV per atom): 2.303
Calculated total energy (eV per cell): -24.1